Density functional theory data (GGA+U) for MoP2ClF after structural relaxation.

Output
Calculated total energy   -3.99 eV/atom
Mass density   3.37 Mg/m³
Magnetic moment   0.00 μB per formula unit
Space group   P4/mmm (123)
Distance to the lowest polymorph of the same formula   0.0000 eV per atom

abc: 4.6649 4.6649 4.8147
angles: 90.00 90.00 90.00
Element x y z (fractional)
P  0.0000  0.5000  0.0000
P  0.5000  0.0000  0.0000
Mo  0.0000  0.0000  0.0000
F  0.5000  0.5000  0.5000
Cl  0.0000  0.0000  0.5000